# 1
Computed, not measured: a relaxed Ca4Ac2Pt crystal at the PBE level of DFT.

Calculated values
Formation enthalpy at 0 K ... -83 meV per atom
D(E_F) ... 7.26 states/eV/f.u.
Calculated total energy ... -0.120 hartree per atom

Structure (CIF):
```
data_Ca4Ac2Pt
_cell_length_a 5.4163
_cell_length_b 5.4163
_cell_length_c 21.2482
_cell_angle_alpha 90.00
_cell_angle_beta 90.00
_cell_angle_gamma 90.00
_symmetry_space_group_name_H-M 'I 4/m m m'
_symmetry_Int_Tables_number 139
_symmetry_space_group_name_Hall '-I 4 2'
loop_
_atom_site_label
_atom_site_type_symbol
_atom_site_fract_x
_atom_site_fract_y
_atom_site_fract_z
Ca1 Ca 0.0000 0.0000 0.1312
Ca2 Ca 0.0000 0.5000 0.0000
Ac1 Ac 0.0000 0.0000 0.3089
Pt1 Pt 0.0000 0.0000 0.0000
```

# 2
Computed, not measured: a relaxed Th4CuGe crystal at the PBE level of DFT.

Calculated values
Formation enthalpy at 0 K ... -328 meV per atom
D(E_F) ... 6.16 states/eV/f.u.
Calculated total energy ... -0.247 hartree per atom

Structure (CIF):
```
data_Th4CuGe
_cell_length_a 7.4114
_cell_length_b 7.4114
_cell_length_c 5.8261
_cell_angle_alpha 90.00
_cell_angle_beta 90.00
_cell_angle_gamma 90.00
_symmetry_space_group_name_H-M 'I 4 2 2'
_symmetry_Int_Tables_number 97
_symmetry_space_group_name_Hall 'I 4 2'
loop_
_atom_site_label
_atom_site_type_symbol
_atom_site_fract_x
_atom_site_fract_y
_atom_site_fract_z
Th1 Th 0.1605 0.3395 0.2500
Cu1 Cu 0.0000 0.0000 0.5000
Ge1 Ge 0.0000 0.0000 0.0000
```

# 3
Computed, not measured: a relaxed K2RbEu crystal at the PBE level of DFT.

Calculated values
Energy above the lowest structure with this stoichiometry ... 0.20 eV/f.u.
Formation enthalpy at 0 K ... 187 meV per atom
D(E_F) ... 3.42 states/eV/f.u.
Calculated total energy ... -0.117 hartree per atom

Structure (CIF):
```
data_K2RbEu
_cell_length_a 4.3549
_cell_length_b 4.3549
_cell_length_c 49.4403
_cell_angle_alpha 90.00
_cell_angle_beta 90.00
_cell_angle_gamma 120.00
_symmetry_space_group_name_H-M 'R -3 m'
_symmetry_Int_Tables_number 166
_symmetry_space_group_name_Hall '-R 3 2"'
loop_
_atom_site_label
_atom_site_type_symbol
_atom_site_fract_x
_atom_site_fract_y
_atom_site_fract_z
K1 K 0.0000 0.0000 0.0823
Rb1 Rb 0.0000 0.0000 0.5000
Eu1 Eu 0.0000 0.0000 0.0000
```

# 4
Computed, not measured: a relaxed V4Pd2W crystal at the PBE level of DFT.

Calculated values
Formation enthalpy at 0 K ... 996 meV per atom
D(E_F) ... 9.64 states/eV/f.u.
Calculated total energy ... -0.277 hartree per atom

Structure (CIF):
```
data_V4Pd2W
_cell_length_a 4.5692
_cell_length_b 4.5692
_cell_length_c 12.7438
_cell_angle_alpha 90.00
_cell_angle_beta 90.00
_cell_angle_gamma 90.00
_symmetry_space_group_name_H-M 'I 4/m m m'
_symmetry_Int_Tables_number 139
_symmetry_space_group_name_Hall '-I 4 2'
loop_
_atom_site_label
_atom_site_type_symbol
_atom_site_fract_x
_atom_site_fract_y
_atom_site_fract_z
V1 V 0.0000 0.0000 0.1933
V2 V 0.0000 0.5000 0.0000
Pd1 Pd 0.0000 0.0000 0.3890
W1 W 0.0000 0.0000 0.0000
```